# 1
Computed, not measured: a geometry-optimized Y2NiSnN structure at the PBE level of DFT.

a = 4.907 Å, b = 4.907 Å, c = 3.920 Å
α = 90.00°, β = 90.00°, γ = 90.00°
Element x y z (fractional)
Y (0.500, 0.000, 0.000)
Y (0.000, 0.500, 0.000)
Sn (0.500, 0.500, 0.500)
Ni (0.000, 0.000, 0.500)
N (0.000, 0.000, 0.000)

Computed properties:
calculated volume: 18.9 Å³/atom
ΔE_f (raw): -0.79 eV/atom
density of states at the Fermi level: 5.06 states/eV/cell
symmetry: P4/mmm
total magnetization: 0.13 μB per formula unit
E_tot: -7.00 eV per atom



# 2
Computed, not measured: a geometry-optimized Y2Cd16Bi structure at the PBE level of DFT.

a = 7.688 Å, b = 7.688 Å, c = 7.688 Å
α = 84.11°, β = 84.11°, γ = 84.11°
Element x y z (fractional)
Cd (0.174, 0.649, 0.649)
Cd (0.680, 0.323, 0.996)
Cd (0.323, 0.996, 0.680)
Cd (0.106, 0.106, 0.106)
Cd (0.649, 0.649, 0.174)
Cd (0.996, 0.323, 0.680)
Cd (0.323, 0.680, 0.996)
Cd (0.013, 0.484, 0.013)
Cd (0.680, 0.996, 0.323)
Cd (0.349, 0.823, 0.349)
Cd (0.349, 0.349, 0.823)
Cd (0.649, 0.174, 0.649)
Cd (0.484, 0.013, 0.013)
Cd (0.013, 0.013, 0.484)
Cd (0.823, 0.349, 0.349)
Cd (0.996, 0.680, 0.323)
Y (0.336, 0.336, 0.336)
Y (0.663, 0.663, 0.663)
Bi (0.892, 0.892, 0.892)

Computed properties:
calculated volume: 23.6 Å³/atom
DFT formation energy: -0.10 eV per atom
density of states at the Fermi level: 5.26 states/eV/cell
symmetry: R3m
total magnetization: 0.00 μB per formula unit
E_tot: -1.75 eV per atom



# 3
Computed, not measured: a geometry-optimized Ca2PrSm structure at the PBE level of DFT.

a = 3.770 Å, b = 3.770 Å, c = 12.619 Å
α = 81.41°, β = 81.41°, γ = 60.00°
Element x y z (fractional)
Ca (0.838, 0.838, 0.487)
Ca (0.417, 0.417, 0.750)
Sm (0.999, 0.999, 0.002)
Pr (0.257, 0.257, 0.229)

Computed properties:
calculated volume: 38.3 Å³/atom
DFT formation energy: 0.04 eV per atom
density of states at the Fermi level: 5.22 states/eV/cell
symmetry: R3m
total magnetization: 0.00 μB per formula unit
E_tot: -3.34 eV per atom



# 4
Computed, not measured: a geometry-optimized SrAcAlSe4 structure at the PBE level of DFT.

a = 7.056 Å, b = 7.059 Å, c = 8.631 Å
α = 90.00°, β = 107.47°, γ = 90.00°
Element x y z (fractional)
Se (0.573, 0.250, 0.877)
Se (0.999, 0.007, 0.246)
Se (0.001, 0.993, 0.754)
Se (0.999, 0.493, 0.246)
Se (0.588, 0.250, 0.414)
Se (0.427, 0.750, 0.123)
Se (0.001, 0.507, 0.754)
Se (0.412, 0.750, 0.586)
Al (0.770, 0.250, 0.698)
Al (0.230, 0.750, 0.302)
Sr (0.259, 0.250, 0.065)
Sr (0.741, 0.750, 0.935)
Ac (0.774, 0.750, 0.445)
Ac (0.226, 0.250, 0.555)

Computed properties:
calculated volume: 29.3 Å³/atom
ΔE_f (raw): -1.63 eV/atom
density of states at the Fermi level: 0.00 states/eV/cell
symmetry: P2_1/m
total magnetization: 0.00 μB per formula unit
E_tot: -4.99 eV per atom



# 5
Computed, not measured: a geometry-optimized Ho4TlIn2Ag structure at the PBE level of DFT.

a = 5.269 Å, b = 5.269 Å, c = 9.163 Å
α = 73.29°, β = 73.29°, γ = 60.00°
Element x y z (fractional)
In (0.751, 0.751, 0.746)
In (0.249, 0.249, 0.254)
Ho (0.378, 0.378, 0.867)
Ho (0.873, 0.873, 0.382)
Ho (0.622, 0.622, 0.133)
Ho (0.127, 0.127, 0.618)
Tl (0.000, 0.000, 0.000)
Ag (0.500, 0.500, 0.500)

Computed properties:
calculated volume: 26.0 Å³/atom
DFT formation energy: -0.38 eV per atom
density of states at the Fermi level: 7.45 states/eV/cell
symmetry: R-3m
total magnetization: 0.00 μB per formula unit
E_tot: -4.01 eV per atom



# 6
Computed, not measured: a geometry-optimized CsRbBi3 structure at the PBE level of DFT.

a = 6.406 Å, b = 6.406 Å, c = 6.406 Å
α = 90.00°, β = 90.00°, γ = 90.00°
Element x y z (fractional)
Bi (0.000, 0.500, 0.000)
Bi (0.000, 0.000, 0.500)
Bi (0.500, 0.000, 0.000)
Rb (0.000, 0.000, 0.000)
Cs (0.500, 0.500, 0.500)

Computed properties:
calculated volume: 52.6 Å³/atom
DFT formation energy: 0.64 eV per atom
density of states at the Fermi level: 9.87 states/eV/cell
symmetry: Pm-3m
total magnetization: 0.00 μB per formula unit
E_tot: -2.05 eV per atom



# 7
Computed, not measured: a geometry-optimized MnSbPt structure at the PBE level of DFT.

a = 4.404 Å, b = 4.404 Å, c = 4.404 Å
α = 60.00°, β = 60.00°, γ = 60.00°
Element x y z (fractional)
Sb (0.000, 0.000, 0.000)
Pt (0.750, 0.750, 0.750)
Mn (0.500, 0.500, 0.500)

Computed properties:
calculated volume: 20.1 Å³/atom
ΔE_f (raw): -0.37 eV/atom
density of states at the Fermi level: 1.43 states/eV/cell
symmetry: F-43m
total magnetization: 4.04 μB per formula unit
E_tot: -6.81 eV per atom



# 8
Computed, not measured: a geometry-optimized AsPW2 structure at the PBE level of DFT.

a = 7.972 Å, b = 7.972 Å, c = 7.972 Å
α = 22.41°, β = 22.41°, γ = 22.41°
Element x y z (fractional)
As (0.501, 0.501, 0.501)
P (0.744, 0.744, 0.744)
W (0.247, 0.247, 0.247)
W (0.007, 0.007, 0.007)

Computed properties:
calculated volume: 16.1 Å³/atom
DFT formation energy: 0.09 eV per atom
density of states at the Fermi level: 1.57 states/eV/cell
symmetry: R3m
total magnetization: 0.00 μB per formula unit
E_tot: -8.90 eV per atom



Which value of total magnetization does entry 7 give?
4.04 μB per formula unit



Number 7 is which compound?
MnSbPt



Copy entry 8 word for word.
Computed, not measured: a geometry-optimized AsPW2 structure at the PBE level of DFT.

a = 7.972 Å, b = 7.972 Å, c = 7.972 Å
α = 22.41°, β = 22.41°, γ = 22.41°
Element x y z (fractional)
As (0.501, 0.501, 0.501)
P (0.744, 0.744, 0.744)
W (0.247, 0.247, 0.247)
W (0.007, 0.007, 0.007)

Computed properties:
calculated volume: 16.1 Å³/atom
DFT formation energy: 0.09 eV per atom
density of states at the Fermi level: 1.57 states/eV/cell
symmetry: R3m
total magnetization: 0.00 μB per formula unit
E_tot: -8.90 eV per atom